VASP calculation (GGA-PBE) on BaRe2W after structural relaxation.

Structure (POSCAR):
```
BaRe2W
1.0
3.009 0.000 0.000
0.000 3.764 0.000
0.000 0.000 7.915
Ba Re W
1 2 1
Direct
0.000 0.000 0.000
0.000 0.000 0.487
0.500 0.500 0.343
0.500 0.500 0.650
```

## Properties
density of states at the Fermi level = 3.3 states/eV/cell
space group = No. 25
polymorph energy (0 for the lowest one) = 0.323 eV per formula unit
total magnetic moment = 0.00 Bohr magnetons per cell
mass density = 12.8 g/cm³
V = 22.4 Å³/atom